Here is crystalline YGaP2S at its relaxed geometry from the Alexandria database. Energies are from PBE-GGA.

Output
Its space group is P4/mmm. For the density of states at the Fermi level, the calculation gives 4.6 states/eV/f.u. The calculation puts the total energy at -0.1698 hartree per atom. For the uncorrected formation energy, the calculation gives 1.3 eV per formula unit. For the relative energy among the computed polymorphs, the calculation gives 0.365 eV/atom.

abc: 5.3539 5.3539 5.2248
angles: 90.00 90.00 90.00
Closest atoms and distances in Å follow each position.
Sites, in units of the cell vectors:
Y: 0.0000 0.0000 0.0000  2 S 2.61, 4 P 2.68
Ga: 0.5000 0.5000 0.5000  8 P 3.74, 4 S 3.79
P: 0.0000 0.5000 0.0000  2 Y 2.68
P: 0.5000 0.0000 0.0000  2 Y 2.68
S: 0.0000 0.0000 0.5000  2 Y 2.61

=====

Here is crystalline Pm3Tl4SnSe8 at its relaxed geometry from the Alexandria database. Energies are from PBE-GGA.

Output
Its space group is R-3m. For the density of states at the Fermi level, the calculation gives 6.0 states/eV/f.u. The calculation puts the total energy at -0.1689 hartree per atom. For the uncorrected formation energy, the calculation gives -18.0 eV per formula unit.

abc: 9.1477 9.1477 9.1477
angles: 55.84 55.84 55.84
Closest atoms and distances in Å follow each position.
Sites, in units of the cell vectors:
Pm: 0.0000 0.5000 0.5000  6 Se 2.96
Pm: 0.5000 0.0000 0.5000  6 Se 2.96
Pm: 0.5000 0.5000 0.0000  6 Se 2.96
Tl: 0.0000 0.0000 0.5000  6 Se 3.33
Tl: 0.0000 0.5000 0.0000  6 Se 3.33
Tl: 0.5000 0.0000 0.0000  6 Se 3.33
Tl: 0.5000 0.5000 0.5000  6 Se 3.36
Sn: 0.0000 0.0000 0.0000  6 Se 2.92
Se: 0.2341 0.2341 0.7403  1 Sn 2.92, 2 Pm 2.96
Se: 0.2341 0.7403 0.2341  1 Sn 2.92, 2 Pm 2.96
Se: 0.2597 0.7659 0.7659  1 Sn 2.92, 2 Pm 2.96
Se: 0.2630 0.2630 0.2630  3 Pm 2.96
Se: 0.7370 0.7370 0.7370  3 Pm 2.96
Se: 0.7403 0.2341 0.2341  1 Sn 2.92, 2 Pm 2.96
Se: 0.7659 0.2597 0.7659  1 Sn 2.92, 2 Pm 2.96
Se: 0.7659 0.7659 0.2597  1 Sn 2.92, 2 Pm 2.96

=====

Here is crystalline PrDyTlCu at its relaxed geometry from the Alexandria database. Energies are from PBE-GGA.

Output
Its energy of formation is -0.21 eV per atom. Its space group is F-43m. For the density of states at the Fermi level, the calculation gives 3.9 states/eV/f.u. The calculation puts the total energy at -0.1534 hartree per atom.

abc: 5.2865 5.2865 5.2865
angles: 60.00 60.00 60.00
Closest atoms and distances in Å follow each position.
Sites, in units of the cell vectors:
Pr: 0.0000 0.0000 0.0000  4 Cu 3.24, 4 Tl 3.24
Dy: 0.5000 0.5000 0.5000  4 Cu 3.24, 4 Tl 3.24
Tl: 0.2500 0.2500 0.2500  4 Dy 3.24, 4 Pr 3.24
Cu: 0.7500 0.7500 0.7500  4 Pr 3.24, 4 Dy 3.24

=====

Here is crystalline AlRe2Si at its relaxed geometry from the Alexandria database. Energies are from PBE-GGA.

Output
Its space group is P4/mmm. For the density of states at the Fermi level, the calculation gives 3.2 states/eV/f.u. The calculation puts the total energy at -0.3173 hartree per atom. For the uncorrected formation energy, the calculation gives -0.5 eV per formula unit. For the relative energy among the computed polymorphs, the calculation gives 0.152 eV/atom.

abc: 3.0008 3.0008 6.1772
angles: 90.00 90.00 90.00
Closest atoms and distances in Å follow each position.
Sites, in units of the cell vectors:
Al: 0.0000 0.0000 0.0000  8 Re 2.71, 4 Al 3.00
Re: 0.5000 0.5000 0.2724  4 Si 2.55, 4 Al 2.71, 1 Re 2.81
Re: 0.5000 0.5000 0.7276  4 Si 2.55, 4 Al 2.71, 1 Re 2.81
Si: 0.0000 0.0000 0.5000  8 Re 2.55

=====

Here is crystalline Ce2Ag3Sn at its relaxed geometry from the Alexandria database. Energies are from PBE-GGA.

Output
Its energy of formation is -0.31 eV per atom. Its space group is Fmmm. For the density of states at the Fermi level, the calculation gives 11.7 states/eV/f.u. The calculation puts the total energy at -0.1609 hartree per atom.

abc: 9.9690 9.2255 5.9402
angles: 78.95 65.26 35.79
Closest atoms and distances in Å follow each position.
Sites, in units of the cell vectors:
Ce: 0.2188 0.7812 0.7812  1 Ce 2.84
Ce: 0.2500 0.2500 0.2500  2 Ce 3.24, 8 Ag 3.30-3.32, 4 Sn 3.32
Ce: 0.7500 0.7500 0.7500  2 Ce 3.24, 8 Ag 3.30-3.32, 4 Sn 3.32
Ce: 0.7812 0.2188 0.2188  1 Ce 2.84
Ag: 0.1665 0.1665 0.8335  2 Ag 2.90, 3 Sn 2.93-3.24, 2 Ce 3.21
Ag: 0.1702 0.6657 0.3343  2 Ag 2.84-2.90, 1 Sn 2.84
Ag: 0.3343 0.8298 0.1702  2 Ag 2.84-2.90, 1 Sn 2.84
Ag: 0.6657 0.1702 0.8298  2 Ag 2.84-2.90, 1 Sn 2.84
Ag: 0.8298 0.3343 0.6657  2 Ag 2.84-2.90, 1 Sn 2.84
Ag: 0.8335 0.8335 0.1665  2 Ag 2.90, 3 Sn 2.93-3.24, 2 Ce 3.21
Sn: 0.3363 0.3363 0.6637  3 Ag 2.84-2.93
Sn: 0.6637 0.6637 0.3363  3 Ag 2.84-2.93

=====

Here is crystalline KCa3Hf at its relaxed geometry from the Alexandria database. Energies are from PBE-GGA.

Output
Its energy of formation is 0.77 eV per atom. Its space group is Pm-3m. For the density of states at the Fermi level, the calculation gives 3.2 states/eV/f.u. The calculation puts the total energy at -0.0971 hartree per atom. For the relative energy among the computed polymorphs, the calculation gives 0.000 eV/atom.

abc: 6.2567 6.2567 6.2567
angles: 90.00 90.00 90.00
Closest atoms and distances in Å follow each position.
Sites, in units of the cell vectors:
K: 0.0000 0.0000 0.0000  12 Ca 4.42
Ca: 0.0000 0.5000 0.5000  2 Hf 3.13
Ca: 0.5000 0.0000 0.5000  2 Hf 3.13
Ca: 0.5000 0.5000 0.0000  2 Hf 3.13
Hf: 0.5000 0.5000 0.5000  6 Ca 3.13

=====

Here is crystalline Cd3ReSb at its relaxed geometry from the Alexandria database. Energies are from PBE-GGA.

Output
Its space group is Pm-3m. For the density of states at the Fermi level, the calculation gives 4.1 states/eV/f.u. The calculation puts the total energy at -0.1009 hartree per atom. For the uncorrected formation energy, the calculation gives 5.6 eV per formula unit. For the relative energy among the computed polymorphs, the calculation gives 0.000 eV/atom.

abc: 5.2674 5.2674 5.2674
angles: 90.00 90.00 90.00
Closest atoms and distances in Å follow each position.
Sites, in units of the cell vectors:
Cd: 0.0000 0.0000 0.5000  2 Re 2.63
Cd: 0.0000 0.5000 0.0000  2 Re 2.63
Cd: 0.5000 0.0000 0.0000  2 Re 2.63
Re: 0.0000 0.0000 0.0000  6 Cd 2.63
Sb: 0.5000 0.5000 0.5000  12 Cd 3.72

=====

Here is crystalline Ba2AgP at its relaxed geometry from the Alexandria database. Energies are from PBE-GGA.

Output
Its energy of formation is -0.55 eV per atom. Its space group is P4/mmm. For the density of states at the Fermi level, the calculation gives 1.3 states/eV/f.u. The calculation puts the total energy at -0.1315 hartree per atom.

abc: 5.5778 5.5778 4.1209
angles: 90.00 90.00 90.00
Closest atoms and distances in Å follow each position.
Sites, in units of the cell vectors:
Ba: 0.0000 0.5000 0.0000  4 P 3.47, 4 Ag 3.47
Ba: 0.5000 0.0000 0.0000  4 P 3.47, 4 Ag 3.47
Ag: 0.0000 0.0000 0.5000  8 Ba 3.47
P: 0.5000 0.5000 0.5000  8 Ba 3.47

=====

Number 1: M_tot 1.31 μB/f.u.. Number 2: M_tot 0.00 μB/f.u.. Number 3: M_tot 0.17 μB/f.u.. Number 4: M_tot 0.00 μB/f.u.. Number 5: M_tot 1.85 μB/f.u.. Number 6: M_tot 2.99 μB/f.u.. Number 7: M_tot 2.16 μB/f.u.. Number 8: M_tot 0.00 μB/f.u..